! FeMoF2 (GGA+U, optimized geometry); values from VASP
! Magnetization (μB/f.u.): 5.25
! ΔE to the lowest computed polymorph (eV per atom): 0.329
! N(E_F) (states/eV per cell): 1.2
! Space-group type: R-3m (166)
! Uncorrected energy (eV per atom): -4.6480
&SYSTEM
  ibrav = 0, nat = 4, ntyp = 3
/
ATOMIC_SPECIES
Fe 55.84 Fe.upf
Mo 95.94 Mo.upf
F 19.00 F.upf
CELL_PARAMETERS angstrom
1.473 0.851 7.741
-1.473 0.851 7.741
0.000 -1.701 7.741
ATOMIC_POSITIONS crystal
Fe 0.000 0.000 0.000
Mo 0.500 0.500 0.500
F 0.099 0.099 0.099
F 0.901 0.901 0.901